No. 1
Compound: SrCePb2
Source: the Alexandria database
Functional: PBE-GGA
Structure: optimized geometry

Summary:
- Total magnetic moment: 0.27 μB/atom
- ΔE_f: -43 kJ/mol of atoms
- Crystal system: triclinic

a = 4.7816 Å, b = 4.9175 Å, c = 11.6778 Å
α = 90.00°, β = 101.81°, γ = 90.00°
Space group P-1 (No. 2)
Inequivalent atoms, fractional coordinates:
Sr 0.1885 0.2498 0.3775
Ce 0.0526 0.7497 0.1055
Pb 0.3438 0.2502 0.6871
Pb 0.4427 0.7503 0.8850

No. 2
Compound: SrCe4Pb5
Source: the Alexandria database
Functional: PBE-GGA
Structure: optimized geometry

Summary:
- Total magnetic moment: 0.52 μB/atom
- ΔE_f: -40 kJ/mol of atoms
- Crystal system: tetragonal

a = 3.6253 Å, b = 3.6253 Å, c = 23.1895 Å
α = 90.00°, β = 90.00°, γ = 90.00°
Space group P4/mmm (No. 123)
Inequivalent atoms, fractional coordinates:
Sr 0.0000 0.0000 0.0000
Ce 0.0000 0.0000 0.2056
Ce 0.0000 0.0000 0.4019
Pb 0.5000 0.5000 0.1058
Pb 0.5000 0.5000 0.3038
Pb 0.5000 0.5000 0.5000

No. 3
Compound: Sr4CePb5
Source: the Alexandria database
Functional: PBE-GGA
Structure: optimized geometry

Summary:
- Total magnetic moment: 0.13 μB/atom
- ΔE_f: -47 kJ/mol of atoms
- Crystal system: tetragonal

a = 3.7412 Å, b = 3.7412 Å, c = 23.8941 Å
α = 90.00°, β = 90.00°, γ = 90.00°
Space group P4/mmm (No. 123)
Inequivalent atoms, fractional coordinates:
Sr 0.0000 0.0000 0.1021
Sr 0.0000 0.0000 0.3038
Ce 0.0000 0.0000 0.5000
Pb 0.5000 0.5000 0.0000
Pb 0.5000 0.5000 0.2033
Pb 0.5000 0.5000 0.4058

Number 2 is which compound?
SrCe4Pb5